No. 1
First-principles (GGA-PBE) data for a relaxed BeHgSb2 crystal, as listed in Alexandria.

Unit cell a=3.983 b=5.633 c=8.814 alpha=90.00 beta=90.00 gamma=90.00
Element x y z (fractional)
Be (0.000, 0.000, 0.000)
Be (0.500, 0.500, 0.000)
Hg (0.000, 0.000, 0.500)
Hg (0.500, 0.500, 0.500)
Sb (0.000, 0.500, 0.176)
Sb (0.000, 0.500, 0.824)
Sb (0.500, 0.000, 0.176)
Sb (0.500, 0.000, 0.824)

final energy	-22.4	eV for the cell shown
energy above the lowest structure with this stoichiometry	87	meV per atom
space group	Cmmm, No. 65
N(E_F)	3.2	states/eV per cell
formation energy from raw total energies	0.27	eV per atom
magnetic moment	0.00	Bohr magnetons per cell


No. 2
First-principles (GGA-PBE) data for a relaxed USnRh6 crystal, as listed in Alexandria.

Unit cell a=4.009 b=4.009 c=7.928 alpha=90.00 beta=90.00 gamma=90.00
Element x y z (fractional)
U (0.000, 0.000, 0.000)
Sn (0.000, 0.000, 0.500)
Rh (0.000, 0.500, 0.246)
Rh (0.000, 0.500, 0.754)
Rh (0.500, 0.000, 0.246)
Rh (0.500, 0.000, 0.754)
Rh (0.500, 0.500, 0.000)
Rh (0.500, 0.500, 0.500)

formation energy from the elements	-501	meV/atom
final energy	-63.4	eV for the cell shown
space group	P4/mmm, No. 123
N(E_F)	5.4	states/eV per cell
magnetic moment	0.00	Bohr magnetons per cell


No. 3
First-principles (GGA-PBE) data for a relaxed Sm6TlRh3 crystal, as listed in Alexandria.

Unit cell a=8.656 b=8.656 c=7.243 alpha=90.00 beta=90.00 gamma=98.27
Element x y z (fractional)
Sm (0.059, 0.499, 0.647)
Sm (0.065, 0.935, 0.500)
Sm (0.213, 0.787, 0.965)
Sm (0.311, 0.372, 0.031)
Sm (0.372, 0.311, 0.531)
Sm (0.499, 0.059, 0.147)
Sm (0.501, 0.941, 0.647)
Sm (0.628, 0.689, 0.031)
Sm (0.689, 0.628, 0.531)
Sm (0.787, 0.213, 0.465)
Sm (0.935, 0.065, 0.000)
Sm (0.941, 0.501, 0.147)
Tl (0.323, 0.677, 0.352)
Tl (0.677, 0.323, 0.852)
Rh (0.085, 0.253, 0.315)
Rh (0.253, 0.085, 0.815)
Rh (0.388, 0.612, 0.738)
Rh (0.612, 0.388, 0.238)
Rh (0.747, 0.915, 0.315)
Rh (0.915, 0.747, 0.815)

formation energy from the elements	-513	meV/atom
final energy	-115.7	eV for the cell shown
energy above the lowest structure with this stoichiometry	14	meV per atom
space group	Cmc2_1, No. 36
N(E_F)	16.0	states/eV per cell
magnetic moment	0.00	Bohr magnetons per cell


No. 4
First-principles (GGA-PBE) data for a relaxed Tb6Pm4Y19 crystal, as listed in Alexandria.

Unit cell a=10.835 b=10.835 c=10.835 alpha=109.47 beta=109.47 gamma=109.47
Element x y z (fractional)
Tb (0.123, 0.623, 0.500)
Tb (0.377, 0.500, 0.877)
Tb (0.500, 0.123, 0.623)
Tb (0.500, 0.877, 0.377)
Tb (0.623, 0.500, 0.123)
Tb (0.877, 0.377, 0.500)
Pm (0.000, 0.000, 0.640)
Pm (0.000, 0.640, 0.000)
Pm (0.360, 0.360, 0.360)
Pm (0.640, 0.000, 0.000)
Y (0.000, 0.000, 0.000)
Y (0.000, 0.260, 0.260)
Y (0.000, 0.740, 0.740)
Y (0.015, 0.796, 0.341)
Y (0.204, 0.219, 0.545)
Y (0.219, 0.545, 0.204)
Y (0.260, 0.000, 0.260)
Y (0.260, 0.260, 0.000)
Y (0.326, 0.781, 0.985)
Y (0.341, 0.015, 0.796)
Y (0.455, 0.674, 0.659)
Y (0.545, 0.204, 0.219)
Y (0.659, 0.455, 0.674)
Y (0.674, 0.659, 0.455)
Y (0.740, 0.000, 0.740)
Y (0.740, 0.740, 0.000)
Y (0.781, 0.985, 0.326)
Y (0.796, 0.341, 0.015)
Y (0.985, 0.326, 0.781)

formation energy from the elements	379	meV/atom
final energy	-158.6	eV for the cell shown
space group	I23, No. 197
N(E_F)	40.8	states/eV per cell
magnetic moment	0.00	Bohr magnetons per cell


No. 5
First-principles (GGA-PBE) data for a relaxed Fe2NiPdPt2 crystal, as listed in Alexandria.

Unit cell a=5.239 b=7.505 c=4.324 alpha=90.00 beta=90.00 gamma=90.00
Element x y z (fractional)
Fe (0.245, 0.169, 0.000)
Fe (0.255, 0.669, 0.500)
Fe (0.745, 0.331, 0.500)
Fe (0.755, 0.831, 0.000)
Ni (0.000, 0.500, 0.000)
Ni (0.500, 0.000, 0.500)
Pd (0.000, 0.000, 0.500)
Pd (0.500, 0.500, 0.000)
Pt (0.242, 0.336, 0.500)
Pt (0.258, 0.836, 0.000)
Pt (0.742, 0.164, 0.000)
Pt (0.758, 0.664, 0.500)

formation energy from the elements	-92	meV/atom
final energy	-81.1	eV for the cell shown
space group	Pnnm, No. 58
N(E_F)	9.7	states/eV per cell
magnetic moment	16.06	Bohr magnetons per cell


No. 6
First-principles (GGA-PBE) data for a relaxed Pr2CdRhO5 crystal, as listed in Alexandria.

Unit cell a=6.880 b=6.880 c=5.761 alpha=90.00 beta=90.00 gamma=90.00
Element x y z (fractional)
Pr (0.174, 0.326, 0.000)
Pr (0.326, 0.826, 0.000)
Pr (0.674, 0.174, 0.000)
Pr (0.826, 0.674, 0.000)
Cd (0.000, 0.000, 0.500)
Cd (0.500, 0.500, 0.500)
Rh (0.000, 0.500, 0.500)
Rh (0.500, 0.000, 0.500)
O (0.000, 0.000, 0.000)
O (0.140, 0.640, 0.250)
O (0.140, 0.640, 0.750)
O (0.360, 0.140, 0.250)
O (0.360, 0.140, 0.750)
O (0.500, 0.500, 0.000)
O (0.640, 0.860, 0.250)
O (0.640, 0.860, 0.750)
O (0.860, 0.360, 0.250)
O (0.860, 0.360, 0.750)

final energy	-120.0	eV for the cell shown
space group	P4/mbm, No. 127
N(E_F)	14.4	states/eV per cell
formation energy from raw total energies	-1.93	eV per atom
magnetic moment	2.24	Bohr magnetons per cell


No. 7
First-principles (GGA-PBE) data for a relaxed Rb6Br5Cl crystal, as listed in Alexandria.

Unit cell a=8.522 b=8.522 c=8.527 alpha=99.60 beta=99.60 gamma=119.98
Element x y z (fractional)
Rb (0.082, 0.407, 0.745)
Rb (0.244, 0.244, 0.255)
Rb (0.407, 0.082, 0.745)
Rb (0.593, 0.918, 0.255)
Rb (0.756, 0.756, 0.745)
Rb (0.918, 0.593, 0.255)
Br (0.168, 0.832, 0.000)
Br (0.334, 0.666, 0.500)
Br (0.500, 0.500, 0.000)
Br (0.666, 0.334, 0.500)
Br (0.832, 0.168, 0.000)
Cl (0.000, 0.000, 0.500)

final energy	-37.4	eV for the cell shown
space group	C2/m, No. 12
N(E_F)	0.0	states/eV per cell
formation energy from raw total energies	-1.78	eV per atom
magnetic moment	0.00	Bohr magnetons per cell


No. 8
First-principles (GGA-PBE) data for a relaxed TbZnAsSe crystal, as listed in Alexandria.

Unit cell a=14.165 b=14.165 c=14.165 alpha=16.99 beta=16.99 gamma=16.99
Element x y z (fractional)
Tb (0.087, 0.087, 0.087)
Tb (0.913, 0.913, 0.913)
Zn (0.311, 0.311, 0.311)
Zn (0.689, 0.689, 0.689)
As (0.374, 0.374, 0.374)
As (0.626, 0.626, 0.626)
Se (0.214, 0.214, 0.214)
Se (0.786, 0.786, 0.786)

final energy	-36.5	eV for the cell shown
space group	R-3m, No. 166
N(E_F)	0.0	states/eV per cell
formation energy from raw total energies	-1.06	eV per atom
magnetic moment	0.00	Bohr magnetons per cell


No. 9
First-principles (GGA-PBE) data for a relaxed SrOsPt4 crystal, as listed in Alexandria.

Unit cell a=5.388 b=5.388 c=5.388 alpha=60.00 beta=60.00 gamma=60.00
Element x y z (fractional)
Sr (0.000, 0.000, 0.000)
Os (0.750, 0.750, 0.750)
Pt (0.375, 0.375, 0.375)
Pt (0.375, 0.375, 0.874)
Pt (0.375, 0.874, 0.375)
Pt (0.874, 0.375, 0.375)

formation energy from the elements	140	meV/atom
final energy	-36.2	eV for the cell shown
space group	F-43m, No. 216
N(E_F)	6.3	states/eV per cell
magnetic moment	3.21	Bohr magnetons per cell


No. 10
First-principles (GGA-PBE) data for a relaxed TbNd2Al4Pt3 crystal, as listed in Alexandria.

Unit cell a=4.280 b=4.280 c=11.539 alpha=90.00 beta=90.00 gamma=90.00
Element x y z (fractional)
Tb (0.000, 0.000, 0.000)
Nd (0.000, 0.500, 0.727)
Nd (0.500, 0.000, 0.273)
Al (0.000, 0.000, 0.500)
Al (0.000, 0.500, 0.169)
Al (0.500, 0.000, 0.831)
Al (0.500, 0.500, 0.500)
Pt (0.000, 0.500, 0.381)
Pt (0.500, 0.000, 0.619)
Pt (0.500, 0.500, 0.000)

formation energy from the elements	-906	meV/atom
final energy	-56.3	eV for the cell shown
space group	P-4m2, No. 115
N(E_F)	8.9	states/eV per cell
magnetic moment	0.00	Bohr magnetons per cell


No. 11
First-principles (GGA-PBE) data for a relaxed Pm3NdDy2 crystal, as listed in Alexandria.

Unit cell a=7.291 b=7.297 c=8.998 alpha=90.01 beta=101.80 gamma=119.96
Element x y z (fractional)
Pm (0.000, 0.249, 0.498)
Pm (0.000, 0.751, 0.502)
Pm (0.222, 0.861, 0.165)
Pm (0.279, 0.639, 0.835)
Pm (0.721, 0.361, 0.165)
Pm (0.778, 0.139, 0.835)
Nd (0.500, 0.251, 0.503)
Nd (0.500, 0.749, 0.497)
Dy (0.222, 0.360, 0.165)
Dy (0.277, 0.140, 0.834)
Dy (0.723, 0.860, 0.166)
Dy (0.778, 0.640, 0.835)

formation energy from the elements	1	meV/atom
final energy	-56.4	eV for the cell shown
energy above the lowest structure with this stoichiometry	0	meV per atom
space group	P-1, No. 2
N(E_F)	14.8	states/eV per cell
magnetic moment	0.00	Bohr magnetons per cell